Here is a relaxed MgZr3N crystal from Alexandria via LeMat-Bulk. Energies are from PBE.

- Density: 5.45 Mg/m³
- Symmetry: P2_1/c
- VASP energy: -7.6916 eV/atom
- Formation energy (no corrections): -0.579 eV/atom

abc: 24.0276 5.8780 9.3115
angles: 90.00 163.21 90.00
Atoms (fractional coordinates):
N (0.9667, 0.2479, 0.8330)
Zr (0.3541, 0.4343, 0.2499)
Zr (0.9227, 0.6203, 0.1017)
Zr (0.5773, 0.1203, 0.3983)
Zr (0.2021, 0.4139, 0.5584)
Zr (0.7021, 0.0861, 0.0584)
Zr (0.2979, 0.9139, 0.9416)
N (0.5333, 0.7479, 0.6670)
Zr (0.4227, 0.8797, 0.6017)
Mg (0.0025, 0.1634, 0.4098)
Zr (0.7979, 0.5861, 0.4416)
Mg (0.9975, 0.8366, 0.5902)
Mg (0.4975, 0.6634, 0.0902)
N (0.0333, 0.7521, 0.1670)
Zr (0.0773, 0.3797, 0.8983)
Zr (0.8541, 0.0657, 0.7499)
N (0.4667, 0.2521, 0.3330)
Zr (0.1459, 0.9343, 0.2501)
Mg (0.5025, 0.3366, 0.9098)
Zr (0.6459, 0.5657, 0.7501)

=====

Here is a relaxed MgZr3N crystal from Alexandria via LeMat-Bulk. Energies are from PBE.

- Density: 5.48 Mg/m³
- Symmetry: Cm
- VASP energy: -7.7480 eV/atom
- Formation energy (no corrections): -0.635 eV/atom

abc: 8.6510 4.5838 5.7454
angles: 66.49 112.95 89.98
Atoms (fractional coordinates):
Zr (0.5686, 0.2818, 0.0304)
Zr (0.6860, 0.5406, 0.5129)
N (0.5643, 0.7698, 0.0545)
Mg (0.0506, 0.2594, 0.0758)
Zr (0.1774, 0.5029, 0.5885)
Zr (0.3118, 0.7557, 0.0824)
Zr (0.4440, 0.0021, 0.5900)
Zr (0.9424, 0.9968, 0.6006)
N (0.4338, 0.5198, 0.5547)
Mg (0.8238, 0.7628, 0.0689)

=====

Here is a relaxed MgZr3N crystal from Alexandria via LeMat-Bulk. Energies are from PBE.

- Density: 3.85 Mg/m³
- Symmetry: I-4m2
- VASP energy: -6.1062 eV/atom
- Formation energy (no corrections): 1.007 eV/atom

abc: 4.8719 4.8719 11.8620
angles: 78.15 78.15 90.00
Atoms (fractional coordinates):
N (0.8425, 0.3425, 0.3150)
Zr (0.3088, 0.3088, 0.3823)
Mg (0.0000, 0.0000, 0.0000)
Zr (0.1085, 0.8676, 0.2648)
N (0.6575, 0.1575, 0.6850)
Zr (0.6267, 0.8676, 0.2648)
Zr (0.6912, 0.6912, 0.6177)
Zr (0.1324, 0.8915, 0.7352)
Zr (0.1324, 0.3733, 0.7352)
Mg (0.2500, 0.7500, 0.5000)